No. 1
Dy6C2Se3N PBE relaxed; electronic total energy = -6.768 eV per atom; energy relative to the elements, uncorrected = -16.38 eV/f.u.
1.0
8.4818 -1.8688 0.0000
8.4818 1.8688 0.0000
-2.3135 0.0000 7.4878
Dy C Se N
6 2 3 1
Cartesian
-0.3235 0.0000 1.6750
4.4602 0.0000 3.3184
3.7652 0.0000 6.6683
10.8849 0.0000 0.8194
10.1899 0.0000 4.1694
14.9736 0.0000 5.8128
2.0247 0.0000 2.4616
12.6253 0.0000 5.0261
0.8883 0.0000 6.2402
7.3250 0.0000 3.7439
13.7618 0.0000 1.2475
8.4818 0.0000 0.0000

No. 2
ZrRe2Tc PBE relaxed; electronic total energy = -10.751 eV per atom; energy above the most stable polymorph in this dataset = 1.075 eV/f.u.
1.0
-1.9228 1.9228 4.4797
1.9228 -1.9228 4.4797
1.9228 1.9228 -4.4797
Zr Re Tc
1 2 1
Cartesian
0.0000 0.0000 0.0000
1.9228 0.0000 2.2398
0.0000 1.9228 2.2398
0.0000 0.0000 4.4797

No. 3
LaPb2BrN PBE relaxed; electronic total energy = -4.141 eV per atom; energy relative to the elements, uncorrected = 1.64 eV/f.u.
1.0
6.6282 0.0000 0.0000
0.0000 6.6282 0.0000
0.0000 0.0000 4.2131
La Pb Br N
1 2 1 1
Cartesian
0.0000 0.0000 0.0000
0.0000 3.3141 0.0000
3.3141 0.0000 0.0000
3.3141 3.3141 2.1066
0.0000 0.0000 2.1066

No. 4
Ba2CoIr PBE relaxed; electronic total energy = -4.406 eV per atom; energy above the most stable polymorph in this dataset = 2.382 eV/f.u.
1.0
5.4280 0.0000 0.0000
0.0000 5.4280 0.0000
0.0000 0.0000 3.8183
Ba Co Ir
2 1 1
Cartesian
0.0000 2.7140 0.0000
2.7140 0.0000 0.0000
0.0000 0.0000 1.9091
2.7140 2.7140 1.9091

No. 5
Ce6Zn5Ag PBE relaxed; electronic total energy = -3.917 eV per atom
1.0
5.4954 0.0000 0.0000
0.0184 6.2506 0.0000
0.2057 3.1147 7.6825
Ce Zn Ag
6 5 1
Cartesian
0.1490 2.9689 3.7672
1.8053 3.0135 1.3190
1.9222 6.3631 1.1789
3.7972 3.0022 6.5036
3.9142 6.3518 6.3636
5.5705 6.3965 3.9153
1.0945 4.6734 6.3290
1.1167 7.8104 6.4517
2.8505 1.5573 3.8413
4.6028 1.5550 1.2308
4.6250 4.6919 1.3536
2.8597 4.6827 3.8413

No. 6
SnAsAu3 PBE relaxed; electronic total energy = -2.873 eV per atom; energy above the most stable polymorph in this dataset = 2.596 eV/f.u.
1.0
5.1832 0.0000 0.0000
0.0000 5.1832 0.0000
0.0000 0.0000 5.1832
Sn As Au
1 1 3
Cartesian
0.0000 0.0000 0.0000
2.5916 2.5916 2.5916
0.0000 0.0000 2.5916
0.0000 2.5916 0.0000
2.5916 0.0000 0.0000

No. 7
CsNaCe2Cl8 PBE relaxed; electronic total energy = -4.480 eV per atom; energy relative to the elements, uncorrected = -24.94 eV/f.u.
1.0
6.9377 0.0000 0.0000
0.0000 8.8587 0.0000
-0.5797 0.0000 7.0900
Cs Na Ce Cl
1 1 2 8
Cartesian
0.0000 0.0000 0.0000
0.0000 4.4293 0.0000
3.1790 2.2914 3.5450
3.1790 6.5673 3.5450
1.6375 2.5423 1.3427
1.6375 6.3164 1.3427
1.6673 4.4293 4.6092
1.7215 0.0000 4.4486
4.6365 0.0000 2.6414
4.6907 4.4293 2.4808
4.7205 2.5423 5.7473
4.7205 6.3164 5.7473

No. 8
TeHRh PBE relaxed; electronic total energy = -4.685 eV per atom; energy above the most stable polymorph in this dataset = 0.052 eV/f.u.
1.0
-1.8111 1.8215 3.6214
1.8111 -1.8215 3.6214
1.8111 1.8215 -3.6214
Te H Rh
1 1 1
Cartesian
0.0000 0.0000 0.0000
0.0000 0.0000 4.3617
0.0000 0.0000 2.7886

Which of these has the highest electronic total energy? SnAsAu3

Copy entry 1 word for word.
Dy6C2Se3N PBE relaxed; electronic total energy = -6.768 eV per atom; energy relative to the elements, uncorrected = -16.38 eV/f.u.
1.0
8.4818 -1.8688 0.0000
8.4818 1.8688 0.0000
-2.3135 0.0000 7.4878
Dy C Se N
6 2 3 1
Cartesian
-0.3235 0.0000 1.6750
4.4602 0.0000 3.3184
3.7652 0.0000 6.6683
10.8849 0.0000 0.8194
10.1899 0.0000 4.1694
14.9736 0.0000 5.8128
2.0247 0.0000 2.4616
12.6253 0.0000 5.0261
0.8883 0.0000 6.2402
7.3250 0.0000 3.7439
13.7618 0.0000 1.2475
8.4818 0.0000 0.0000

Which of these has the lowest electronic total energy? ZrRe2Tc

Which value of electronic total energy does entry 5 give? -3.917 eV per atom